Record 1
Material: PmEr6Hg2
Method: DFT, GGA-PBE
State: optimized geometry

Properties
Theoretical density (Mg/m³): 9.9
Final energy (eV/atom): -3.837
Space-group type: No. 12

Cell: 3.704 6.542 11.603 Å, 75.27 80.82 73.56°
Atoms (fractional coordinates):
Er: 0.985 0.689 0.340
Er: 0.688 0.500 0.125
Hg: 0.351 0.082 0.217
Er: 0.015 0.311 0.660
Pm: 0.000 0.000 0.000
Er: 0.687 0.209 0.418
Er: 0.313 0.791 0.582
Er: 0.312 0.500 0.875
Hg: 0.649 0.918 0.783

---

Record 2
Material: La3PbO
Method: DFT, GGA-PBE
State: optimized geometry

Properties
Theoretical density (Mg/m³): 5.2
ΔE_f (raw) (eV per formula unit): -3.691
Space-group type: No. 99

Cell: 4.899 4.899 8.487 Å, 90.00 90.00 90.00°
Each line ends with the local moment (μB).
Atoms (fractional coordinates):
La: 0.000 0.500 0.629  0.11
La: 0.000 0.000 0.007  0.46
La: 0.500 0.000 0.629  0.12
Pb: 0.000 0.000 0.370  -0.02
O: 0.500 0.500 0.628  0.02

---

Record 3
Material: AgBPt3
Method: DFT, GGA-PBE
State: optimized geometry

Properties
Polymorph energy (0 for the lowest one) (meV per atom): 3
Theoretical density (Mg/m³): 15.6
Space-group type: No. 2

Cell: 5.568 5.581 5.581 Å, 119.98 91.88 91.13°
Atoms (fractional coordinates):
B: 0.341 0.447 0.739
Pt: 0.083 0.773 0.899
Ag: 0.341 0.781 0.406
Pt: 0.083 0.274 0.397
Pt: 0.083 0.276 0.900
Pt: 0.599 0.788 0.913
Ag: 0.841 0.781 0.406
Pt: 0.599 0.285 0.912
B: 0.341 0.114 0.072
Pt: 0.599 0.287 0.414

---

Record 4
Material: HoScPbO2
Method: DFT, GGA-PBE
State: optimized geometry

Properties
Theoretical density (Mg/m³): 7.7
ΔE_f (raw) (eV per formula unit): -12.472
Space-group type: No. 107

Cell: 3.733 3.733 7.398 Å, 104.61 104.61 90.00°
Atoms (fractional coordinates):
Sc: 0.176 0.176 0.353
Ho: 0.829 0.829 0.659
Pb: 0.505 0.505 0.010
O: 0.245 0.745 0.489
O: 0.745 0.245 0.489

---

Record 5
Material: ZrHN2
Method: DFT, GGA-PBE
State: optimized geometry

Properties
Polymorph energy (0 for the lowest one) (meV per atom): 793
Theoretical density (Mg/m³): 5.4
Space-group type: No. 225

Cell: 3.736 3.736 3.736 Å, 60.00 60.00 60.00°
Atoms (fractional coordinates):
N: 0.750 0.750 0.750
N: 0.250 0.250 0.250
H: 0.000 0.000 0.000
Zr: 0.500 0.500 0.500